Compound: Pr7TmTl2
Source: the Alexandria database
Functional: GGA-PBE
Structure: optimized geometry

Unit cell a=9.445 b=9.445 c=5.375 alpha=90.00 beta=90.00 gamma=119.89
Fractional coordinates of all 10 atoms:
1 Pr 0.000 0.000 0.000
2 Pr 0.200 0.437 0.000
3 Pr 0.278 0.722 0.500
4 Pr 0.437 0.200 0.000
5 Pr 0.563 0.800 0.000
6 Pr 0.722 0.278 0.500
7 Pr 0.800 0.563 0.000
8 Tm 0.500 0.500 0.500
9 Tl 0.193 0.807 0.000
10 Tl 0.807 0.193 0.000

Summary:
- DOS at the Fermi energy (states/eV per cell) = 19.5
- total DFT energy (no corrections) (eV per atom) = -3.942
- space group = Cmmm, No. 65
- calculated formation energy (eV per atom) = 0.32